(1)
The following is a DFT calculation (PBE-GGA) of a relaxed Y2ZrSe5 crystal.

abc: 5.5180 7.3296 13.3271
angles: 90.00 90.00 112.11
Last column: nearest neighbours and their distance in Å.
Positions (direct):
Y 0.8508 0.7017 0.4406  6 Se 2.80-2.97
Y 0.8508 0.7017 0.0594  6 Se 2.80-2.97
Y 0.1492 0.2983 0.5594  6 Se 2.80-2.97
Y 0.1492 0.2983 0.9406  6 Se 2.80-2.97
Zr 0.8060 0.6120 0.7500  6 Se 2.60-2.82
Zr 0.1940 0.3880 0.2500  6 Se 2.60-2.82
Se 0.9521 0.9041 0.8765  1 Zr 2.60, 2 Y 2.80-2.81
Se 0.9521 0.9041 0.6235  1 Zr 2.60, 2 Y 2.80-2.81
Se 0.3155 0.6310 0.4187  1 Zr 2.79, 3 Y 2.82-2.94
Se 0.3155 0.6310 0.0813  1 Zr 2.79, 3 Y 2.82-2.94
Se 0.7381 0.4762 0.2500  2 Zr 2.82, 2 Y 2.97
Se 0.2619 0.5238 0.7500  2 Zr 2.82, 2 Y 2.97
Se 0.6845 0.3690 0.5813  1 Zr 2.79, 3 Y 2.82-2.94
Se 0.6845 0.3690 0.9187  1 Zr 2.79, 3 Y 2.82-2.94
Se 0.0479 0.0959 0.1235  1 Zr 2.60, 2 Y 2.80-2.81
Se 0.0479 0.0959 0.3765  1 Zr 2.60, 2 Y 2.80-2.81

**E_form (uncorrected)**: -1.5941 eV/atom
**E_tot**: -6.46 eV per atom
**SG**: Cmcm, No. 63

(2)
The following is a DFT calculation (PBE-GGA) of a relaxed Y2ZrSe4 crystal.

abc: 4.0271 7.1658 7.6026
angles: 118.14 105.36 90.00
Last column: nearest neighbours and their distance in Å.
Positions (direct):
Y 0.7401 0.7535 0.4802  6 Se 2.83-2.95
Y 0.2599 0.2465 0.5198  6 Se 2.83-2.95
Zr 0.0000 0.0000 0.0000  6 Se 2.73-2.80
Se 0.8847 0.2049 0.7693  1 Zr 2.73, 3 Y 2.83-2.87
Se 0.1153 0.7951 0.2307  1 Zr 2.73, 3 Y 2.83-2.87
Se 0.6242 0.2809 0.2484  2 Zr 2.80, 3 Y 2.92-2.95
Se 0.3758 0.7191 0.7516  2 Zr 2.80, 3 Y 2.92-2.95

**E_form (uncorrected)**: -1.6344 eV/atom
**E_tot**: -6.69 eV per atom
**DOS at the Fermi energy**: 1.24 states/eV/f.u.
**SG**: C2/m, No. 12

(3)
The following is a DFT calculation (PBE-GGA) of a relaxed YZrSe4 crystal.

abc: 6.7699 7.4298 7.8919
angles: 113.40 115.40 90.00
Last column: nearest neighbours and their distance in Å.
Positions (direct):
Y 0.1611 0.7500 0.0000  6 Se 2.84-2.95
Y 0.8389 0.2500 0.0000  6 Se 2.84-2.95
Zr 0.5000 0.5000 0.5000  6 Se 2.56-2.84
Zr 0.0000 0.0000 0.5000  6 Se 2.56-2.84
Se 0.1812 0.1505 0.3068  2 Zr 2.79-2.84, 2 Y 2.90-2.95
Se 0.1256 0.6505 0.3068  2 Zr 2.79-2.84, 2 Y 2.90-2.95
Se 0.6214 0.9143 0.1790  1 Zr 2.56, 1 Se 2.64, 1 Y 2.84
Se 0.5576 0.4143 0.1790  1 Zr 2.56, 1 Se 2.64, 1 Y 2.84
Se 0.3786 0.0857 0.8210  1 Zr 2.56, 1 Se 2.64, 1 Y 2.84
Se 0.4424 0.5857 0.8210  1 Zr 2.56, 1 Se 2.64, 1 Y 2.84
Se 0.8188 0.8495 0.6932  2 Zr 2.79-2.84, 2 Y 2.90-2.95
Se 0.8744 0.3495 0.6932  2 Zr 2.79-2.84, 2 Y 2.90-2.95

**Offset from the most stable computed form**: 0 meV/atom
**E_form (uncorrected)**: -1.2076 eV/atom
**E_tot**: -6.03 eV per atom
**DOS at the Fermi energy**: 1.18 states/eV/f.u.
**SG**: C2/c, No. 15

(4)
The following is a DFT calculation (PBE-GGA) of a relaxed YZr3Se crystal.

abc: 5.0884 5.0884 5.0884
angles: 90.00 90.00 90.00
Last column: nearest neighbours and their distance in Å.
Positions (direct):
Y 0.5000 0.5000 0.5000  12 Zr 3.60
Se 0.0000 0.0000 0.0000  6 Zr 2.54
Zr 0.0000 0.5000 0.0000  2 Se 2.54
Zr 0.0000 0.0000 0.5000  2 Se 2.54
Zr 0.5000 0.0000 0.0000  2 Se 2.54

**Offset from the most stable computed form**: 0 meV/atom
**E_form (uncorrected)**: -0.2390 eV/atom
**E_tot**: -7.36 eV per atom
**DOS at the Fermi energy**: 7.43 states/eV/f.u.
**SG**: Pm-3m, No. 221

(5)
The following is a DFT calculation (PBE-GGA) of a relaxed Y2ZrSe2 crystal.

abc: 8.2631 8.2631 3.5361
angles: 90.00 90.00 90.00
Last column: nearest neighbours and their distance in Å.
Positions (direct):
Y 0.3481 0.8481 0.0000  6 Se 2.91-3.06, 2 Zr 3.14
Y 0.8481 0.6519 0.0000  6 Se 2.91-3.06, 2 Zr 3.14
Y 0.6519 0.1519 0.0000  6 Se 2.91-3.06, 2 Zr 3.14
Y 0.1519 0.3481 0.0000  6 Se 2.91-3.06, 2 Zr 3.14
Se 0.1503 0.6503 0.5000  6 Y 2.91-3.06
Se 0.6503 0.8497 0.5000  6 Y 2.91-3.06
Se 0.8497 0.3497 0.5000  6 Y 2.91-3.06
Se 0.3497 0.1503 0.5000  6 Y 2.91-3.06
Zr 0.0000 0.0000 0.0000  4 Y 3.14
Zr 0.5000 0.5000 0.0000  4 Y 3.14

**Offset from the most stable computed form**: 0 meV/atom
**E_form (uncorrected)**: -0.6455 eV/atom
**E_tot**: -6.33 eV per atom
**DOS at the Fermi energy**: 7.43 states/eV/f.u.
**SG**: P4/mbm, No. 127

(6)
The following is a DFT calculation (PBE-GGA) of a relaxed YbSe crystal.

abc: 4.9894 4.9894 5.8566
angles: 90.00 90.00 120.00
Last column: nearest neighbours and their distance in Å.
Positions (direct):
Yb 0.6667 0.3333 0.2500  5 Se 2.88-2.93
Yb 0.3333 0.6667 0.7500  5 Se 2.88-2.93
Se 0.6667 0.3333 0.7500  5 Yb 2.88-2.93
Se 0.3333 0.6667 0.2500  5 Yb 2.88-2.93

**E_form (uncorrected)**: -1.8453 eV/atom
**E_tot**: -4.35 eV per atom
**DOS at the Fermi energy**: 1.81 states/eV/f.u.
**SG**: P6_3/mmc, No. 194